10
Lattice="-2.459 2.956 2.591 1.968 -3.812 6.216 4.294 5.713 -2.442" Properties=species:S:1:pos:R:3 comment="Al2Ag7Hg PBE relaxed" mass_density_g_cm3=7.318 sg="Cmmm, No. 65" energy_ev_per_cell=-25.6 vol_a3_per_atom=22.91 dos_ef_per_ev_atom=0.3637 ef_mev_per_atom=217 crystal_system=orthorhombic pbc="T T T"
Ag 3.599 1.911 5.383
Ag 1.901 2.428 3.183
Ag 3.792 3.658 -0.574
Ag -0.341 0.715 3.009
Ag 2.470 -1.757 4.348
Hg 0.000 0.000 0.000
Ag 0.204 2.945 0.982
Al 1.441 0.542 4.897
Ag 4.144 4.141 3.356
Al 2.362 4.314 1.468



5
Lattice="-0.200 2.439 4.392 -4.303 1.700 -1.140 -2.150 -4.014 2.131" Properties=species:S:1:pos:R:3 comment="MgZr2NiPd PBE relaxed" mass_density_g_cm3=5.126 sg="P4/mmm, No. 123" energy_ev_per_cell=-26.8 vol_a3_per_atom=24.09 dos_ef_per_ev_atom=1.6026 ef_mev_per_atom=582 crystal_system=tetragonal pbc="T T T"
Pd 0.000 0.000 0.000
Zr -1.075 -2.007 1.065
Mg -2.152 0.850 -0.570
Ni -3.327 0.062 2.692
Zr -0.100 1.219 2.196



5
Lattice="5.972 0.000 0.000 0.000 5.972 0.000 0.000 0.000 5.972" Properties=species:S:1:pos:R:3 comment="CaLa3I PBE relaxed" mass_density_g_cm3=4.551 sg="Pm-3m, No. 221" e_above_lowest_polymorph_ev_per_atom=0.672 energy_ev_per_cell=-15.5 vol_a3_per_atom=42.60 dos_ef_per_ev_atom=1.8126 formation_energy_uncorrected_ev_per_fu=2.81 crystal_system=cubic pbc="T T T"
I 2.986 2.986 2.986
La 0.000 2.986 0.000
Ca 0.000 0.000 0.000
La 0.000 0.000 2.986
La 2.986 0.000 0.000



4
Lattice="-4.085 4.527 -2.198 -2.335 2.943 -5.283 -3.515 -3.310 -0.294" Properties=species:S:1:pos:R:3 comment="Ca2AgBr PBE relaxed" mass_density_g_cm3=3.828 sg="Amm2, No. 38" e_above_lowest_polymorph_ev_per_atom=0.112 energy_ev_per_cell=-11.3 vol_a3_per_atom=29.05 dos_ef_per_ev_atom=0.6510 formation_energy_uncorrected_ev_per_fu=-2.82 crystal_system=orthorhombic pbc="T T T"
Ca -7.005 3.525 -5.786
Br -2.066 1.477 -1.931
Ca -0.504 -0.337 -0.113
Ag -5.327 1.576 -3.832